# Ca2ZnCd2 PBE optimized geometry
# Calculated formation energy: -0.293 eV/atom
# N(E_F): 12.03 states/eV per cell
# Spin magnetization: 0.0 μB per formula unit
data_Ca2ZnCd2
_chemical_formula_sum 'Ca8 Zn4 Cd8'
_cell_length_a 11.3697
_cell_length_b 4.4839
_cell_length_c 11.6012
_cell_angle_alpha 90.00
_cell_angle_beta 115.00
_cell_angle_gamma 90.00
_symmetry_space_group_name_H-M 'C 1 2/m 1'
_symmetry_Int_Tables_number 12
_symmetry_space_group_name_Hall '-C 2y'
loop_
_atom_site_label
_atom_site_type_symbol
_atom_site_fract_x
_atom_site_fract_y
_atom_site_fract_z
Ca1 Ca 0.0050 0.0000 0.3336
Ca2 Ca 0.1925 0.0000 0.1147
Zn1 Zn 0.2111 0.5000 0.3343
Cd1 Cd 0.0227 0.5000 0.8854
Cd2 Cd 0.1504 0.5000 0.5586